A plane-wave DFT calculation with PBE was carried out for a relaxed structure of Pu2TlCo.

Formation energy: 0.00 eV/atom
Symmetry: P4/mmm, No. 123

Unit cell a=3.2792 b=3.2792 c=8.3449 alpha=90.00 beta=90.00 gamma=90.00
Last column: nearest neighbours and their distance in Å.
Positions (direct):
Pu  0.0000  0.0000  0.2001  4 Co 2.86
Pu  0.0000  0.0000  0.7999  4 Co 2.86
Co  0.5000  0.5000  0.0000  8 Pu 2.86
Tl  0.5000  0.5000  0.5000  4 Tl 3.28, 8 Pu 3.41

=====

A plane-wave DFT calculation with PBE was carried out for a relaxed structure of Tm4PuCo.

Formation energy: 0.08 eV/atom
Symmetry: Cmcm, No. 63

Unit cell a=5.3622 b=7.1277 c=9.3392 alpha=90.00 beta=106.68 gamma=90.00
Last column: nearest neighbours and their distance in Å.
Positions (direct):
Tm  0.5001  0.5303  0.0002  2 Co 2.52
Tm  0.6993  0.5286  0.3987  1 Co 2.53
Pu  0.8906  0.7805  0.7811  13 Tm 3.56-3.97
Tm  0.6992  0.0329  0.3983  1 Co 2.53
Tm  0.3007  0.0286  0.6013  1 Co 2.53
Tm  0.4999  0.0303  0.9998  2 Co 2.52
Tm  0.8874  0.2805  0.7748  2 Co 2.69
Tm  0.1126  0.7805  0.2252  2 Co 2.69
Pu  0.1094  0.2805  0.2189  13 Tm 3.56-3.97
Co  0.4003  0.2806  0.8005  6 Tm 2.52-2.69
Tm  0.3008  0.5329  0.6017  1 Co 2.53
Co  0.5997  0.7806  0.1995  6 Tm 2.52-2.69

=====

A plane-wave DFT calculation with PBE was carried out for a relaxed structure of Tm3PuCo8.

Formation energy: -0.21 eV/atom
Symmetry: R3m, No. 160

Unit cell a=4.9550 b=4.9550 c=8.8032 alpha=73.65 beta=73.65 gamma=60.00
Last column: nearest neighbours and their distance in Å.
Positions (direct):
Co  0.6883  0.6883  0.9351  6 Co 2.50-2.54
Co  0.4385  0.9344  0.1886  6 Co 2.46-2.54
Tm  0.3751  0.3751  0.8747  12 Co 2.90-2.98, 4 Tm 3.05-3.09
Co  0.4385  0.4385  0.1886  6 Co 2.46-2.54
Tm  0.9998  0.9998  0.0007  12 Co 2.91-2.96, 3 Tm 3.05, 1 Pu 3.07
Pu  0.8769  0.8769  0.3693  12 Co 2.90-3.02, 4 Tm 3.07
Co  0.9344  0.4385  0.1886  6 Co 2.46-2.54
Co  0.9368  0.9368  0.6890  6 Co 2.48-2.56
Tm  0.4990  0.4990  0.5031  12 Co 2.92-2.98, 3 Pu 3.07, 1 Tm 3.09
Co  0.9368  0.4373  0.6890  6 Co 2.48-2.56
Co  0.4373  0.9368  0.6890  6 Co 2.48-2.56
Co  0.1887  0.1887  0.4339  6 Co 2.50-2.56

=====

| no. | total DFT energy (no corrections) (eV per atom) | density of states at the Fermi level (states/eV/atom) |
| --- | --- | --- |
| 1 | -9.536 | 3.27 |
| 2 | -6.475 | 2.47 |
| 3 | -7.258 | 1.46 |